# 1
The following is a DFT calculation (GGA-PBE) of crystalline BaSmIn2Au4 at its relaxed geometry.

a = 4.912 Å, b = 4.912 Å, c = 10.115 Å
α = 75.95°, β = 75.95°, γ = 60.00°
Positions (direct):
In: 0.240 0.240 0.281
In: 0.760 0.760 0.719
Au: 0.877 0.877 0.370
Au: 0.123 0.123 0.630
Au: 0.398 0.398 0.807
Au: 0.602 0.602 0.193
Ba: 0.000 0.000 0.000
Sm: 0.500 0.500 0.500

Calculated values
* crystal system: trigonal
* formation energy: -0.5912 eV per atom
* N(E_F): 4.3 states/eV/cell


# 2
The following is a DFT calculation (GGA-PBE) of crystalline BaInSnAu2 at its relaxed geometry.

a = 4.716 Å, b = 4.716 Å, c = 6.940 Å
α = 109.86°, β = 109.86°, γ = 90.00°
Positions (direct):
Au: 0.384 0.384 0.769
Au: 0.616 0.616 0.231
In: 0.250 0.750 0.500
Ba: 0.000 0.000 0.000
Sn: 0.750 0.250 0.500

Calculated values
* crystal system: tetragonal
* formation energy: -0.5576 eV per atom
* N(E_F): 3.0 states/eV/cell